Compound: NaAlSi
Source: Alexandria via LeMat-Bulk
Functional: GGA-PBE
Structure: relaxed

Structure (POSCAR):
```
NaAlSi
1.0
4.546 0.000 0.000
0.000 6.174 2.223
0.000 -6.174 2.223
Na Al Si
2 2 2
Direct
0.000 0.000 0.000 Na
0.500 0.461 0.461 Na
0.000 0.368 0.746 Al
0.000 0.746 0.368 Al
0.500 0.064 0.668 Si
0.500 0.668 0.064 Si
```

Calculated values
total DFT energy (no corrections): -3.338 eV per atom
spin magnetization: 0.000 μB/atom
V: 125 Å³/cell
Fermi-level density of states: 0.9 states/eV/f.u.
formation energy from raw total energies: 3.61 kcal/mol of atoms
symmetry: Amm2 (38)